Entry 1:
The following is a DFT calculation (PBEsol) of crystalline Ba3Na3C5O15 at its relaxed geometry.

Cell lengths 10.8121, 10.8121, 6.8129 Å; angles 90.00, 90.00, 120.00 degrees
Fractional coordinates of all 52 atoms:
Ba 0.1587 0.3173 0.0000
Ba 0.1587 0.8413 0.0000
Ba 0.3173 0.1587 0.5000
Ba 0.6827 0.8413 0.0000
Ba 0.8413 0.1587 0.5000
Ba 0.8413 0.6827 0.5000
Na 0.0475 0.5238 0.6980
Na 0.4762 0.5238 0.6980
Na 0.4762 0.9525 0.6980
Na 0.5238 0.0475 0.1980
Na 0.5238 0.4762 0.1980
Na 0.9525 0.4762 0.1980
C 0.0000 0.0000 0.1759
C 0.0000 0.0000 0.6759
C 0.2053 0.4106 0.4630
C 0.2053 0.7947 0.4630
C 0.3333 0.6667 0.0039
C 0.4106 0.2053 0.9630
C 0.5894 0.7947 0.4630
C 0.6667 0.3333 0.5039
C 0.7947 0.2053 0.9630
C 0.7947 0.5894 0.9630
O 0.0691 0.1383 0.6732
O 0.0691 0.9309 0.6732
O 0.0904 0.3886 0.3725
O 0.0904 0.7018 0.3725
O 0.1383 0.0691 0.1732
O 0.1950 0.5975 0.0040
O 0.2263 0.4527 0.6420
O 0.2263 0.7737 0.6420
O 0.2982 0.3886 0.3725
O 0.2982 0.9096 0.3725
O 0.3886 0.0904 0.8725
O 0.3886 0.2982 0.8725
O 0.4025 0.5975 0.0040
O 0.4025 0.8050 0.0040
O 0.4527 0.2263 0.1420
O 0.5473 0.7737 0.6420
O 0.5975 0.1950 0.5040
O 0.5975 0.4025 0.5040
O 0.6114 0.7018 0.3725
O 0.6114 0.9096 0.3725
O 0.7018 0.0904 0.8725
O 0.7018 0.6114 0.8725
O 0.7737 0.2263 0.1420
O 0.7737 0.5473 0.1420
O 0.8050 0.4025 0.5040
O 0.8617 0.9309 0.6732
O 0.9096 0.2982 0.8725
O 0.9096 0.6114 0.8725
O 0.9309 0.0691 0.1732
O 0.9309 0.8617 0.1732

Calculated values
The total magnetization is 0.92 μB per formula unit. The crystal system is hexagonal.

=====

Entry 2:
The following is a DFT calculation (PBEsol) of crystalline BaNa3PCO7 at its relaxed geometry.

Cell lengths 5.5177, 7.1177, 9.2008 Å; angles 90.00, 92.69, 90.00 degrees
Fractional coordinates of all 26 atoms:
Ba 0.0393 0.0000 0.1724
Ba 0.9607 0.5000 0.8276
Na 0.0307 0.8202 0.5178
Na 0.4628 0.5572 0.3537
Na 0.4820 0.7274 0.0006
Na 0.5180 0.2274 0.9994
Na 0.5372 0.0572 0.6463
Na 0.9693 0.3202 0.4822
P 0.0402 0.0289 0.8074
P 0.9598 0.5289 0.1926
C 0.4435 0.4873 0.6628
C 0.5565 0.9873 0.3372
O 0.1077 0.3569 0.2512
O 0.1159 0.1541 0.6795
O 0.1262 0.6432 0.0919
O 0.2537 0.5493 0.5906
O 0.2720 0.9734 0.8999
O 0.3767 0.9177 0.4050
O 0.4561 0.4940 0.8051
O 0.5439 0.9940 0.1949
O 0.6233 0.4177 0.5950
O 0.7280 0.4734 0.1001
O 0.7463 0.0493 0.4094
O 0.8738 0.1432 0.9081
O 0.8841 0.6541 0.3205
O 0.8923 0.8569 0.7488

Calculated values
The total magnetization is 0.00 μB per formula unit. The crystal system is monoclinic.

=====

Entry 3:
The following is a DFT calculation (PBEsol) of crystalline Ba2NiSbC at its relaxed geometry.

Cell lengths 6.0943, 6.0943, 3.5975 Å; angles 90.00, 90.00, 90.00 degrees
Fractional coordinates of all 5 atoms:
Ba 0.0000 0.5000 0.0000
Ba 0.5000 0.0000 0.0000
Ni 0.0000 0.0000 0.0000
Sb 0.5000 0.5000 0.5000
C 0.0000 0.0000 0.5000

Calculated values
The total magnetization is 0.00 μB per formula unit. The crystal system is tetragonal.

=====

Entry 4:
The following is a DFT calculation (PBEsol) of crystalline BaCO3 at its relaxed geometry.

Cell lengths 4.5432, 5.2796, 6.8780 Å; angles 90.00, 108.96, 90.00 degrees
Fractional coordinates of all 10 atoms:
Ba 0.1706 0.2500 0.2709
Ba 0.8294 0.7500 0.7291
C 0.2382 0.2500 0.7408
C 0.7618 0.7500 0.2592
O 0.0712 0.2500 0.8625
O 0.3132 0.0374 0.6752
O 0.3132 0.4626 0.6752
O 0.6868 0.5374 0.3248
O 0.6868 0.9626 0.3248
O 0.9288 0.7500 0.1375

Calculated values
The total magnetization is 0.00 μB per formula unit. The crystal system is monoclinic.

=====

Entry 5:
The following is a DFT calculation (PBEsol) of crystalline BaCO3 at its relaxed geometry.

Cell lengths 4.5290, 4.5290, 8.7545 Å; angles 109.06, 109.06, 71.19 degrees
Fractional coordinates of all 10 atoms:
Ba 0.0000 0.0000 0.0000
Ba 0.0000 0.0000 0.5000
C 0.4566 0.4566 0.7675
C 0.5434 0.5434 0.2325
O 0.1615 0.5877 0.6988
O 0.3870 0.3870 0.0958
O 0.4123 0.8385 0.3012
O 0.5877 0.1615 0.6988
O 0.6130 0.6130 0.9042
O 0.8385 0.4123 0.3012

Calculated values
The total magnetization is 0.00 μB per formula unit. The crystal system is monoclinic.

=====

Entry 6:
The following is a DFT calculation (PBEsol) of crystalline BaCO3 at its relaxed geometry.

Cell lengths 4.5885, 4.5885, 4.5885 Å; angles 71.70, 71.70, 71.70 degrees
Fractional coordinates of all 5 atoms:
Ba 0.0000 0.0000 0.0000
C 0.5000 0.5000 0.5000
O 0.2587 0.7413 0.5000
O 0.5000 0.2587 0.7413
O 0.7413 0.5000 0.2587

Calculated values
The total magnetization is 0.00 μB per formula unit. The crystal system is trigonal.

=====

Entry 7:
The following is a DFT calculation (PBEsol) of crystalline BaCO3 at its relaxed geometry.

Cell lengths 6.3838, 5.3107, 8.9269 Å; angles 90.00, 90.00, 90.00 degrees
Fractional coordinates of all 20 atoms:
Ba 0.2462 0.2500 0.0837
Ba 0.2538 0.7500 0.5837
Ba 0.7462 0.2500 0.4163
Ba 0.7538 0.7500 0.9163
C 0.0811 0.2500 0.7444
C 0.4189 0.7500 0.2444
C 0.5811 0.2500 0.7556
C 0.9189 0.7500 0.2556
O 0.0815 0.0384 0.8171
O 0.0815 0.4616 0.8171
O 0.0884 0.2500 0.5991
O 0.4116 0.7500 0.0991
O 0.4185 0.5384 0.3171
O 0.4185 0.9616 0.3171
O 0.5815 0.0384 0.6829
O 0.5815 0.4616 0.6829
O 0.5884 0.2500 0.9009
O 0.9116 0.7500 0.4009
O 0.9185 0.5384 0.1829
O 0.9185 0.9616 0.1829

Calculated values
The total magnetization is 0.00 μB per formula unit. The crystal system is orthorhombic.

=====

Entry 8:
The following is a DFT calculation (PBEsol) of crystalline BaCO3 at its relaxed geometry.

Cell lengths 4.9413, 4.9413, 4.9413 Å; angles 130.86, 86.71, 113.77 degrees
Fractional coordinates of all 5 atoms:
Ba 0.0000 0.0000 0.0000
C 0.4365 0.9365 0.5000
O 0.1549 0.8090 0.3459
O 0.4631 0.8090 0.6541
O 0.6747 0.1747 0.5000

Calculated values
The total magnetization is 0.00 μB per formula unit. The crystal system is orthorhombic.

=====

Let's list density of states at the Fermi level in order: 26.4 0.0 1.8 0.0 0.0 0.0 0.0 0.0 states/eV per cell.
Let's list energy relative to the elements, uncorrected in order: -51.6 -28.6 -0.5 -11.3 -11.2 -11.1 -11.4 -11.1 eV/f.u..